The following is a GGA-PBE calculation of a geometry-optimized FeTcBr2 structure, from Alexandria via LeMat-Bulk.

Cell and atoms, written as POSCAR:
```
FeTcBr2
1.0
5.721 0.001 0.004
-3.064 4.565 -0.011
-0.407 1.210 3.087
Br Fe Tc
2 1 1
direct
0.000 0.000 0.000
0.500 0.000 0.500
0.000 0.500 0.500
0.500 0.500 0.000
```

Values from the calculation:
ΔE to the lowest computed polymorph = 694 meV/atom
density of states at the Fermi level = 2.4 states/eV/f.u.
symmetry = C2/m
total moment = 5.85 μB per cell
raw formation energy = 0.85 eV per atom

=====

The following is a GGA-PBE calculation of a geometry-optimized CePm2Sb3Rh4 structure, from Alexandria via LeMat-Bulk.

Cell and atoms, written as POSCAR:
```
CePm2Sb3Rh4
1.0
4.437 0.000 0.000
0.000 4.437 0.000
0.000 0.000 11.380
Ce Pm Sb Rh
1 2 3 4
direct
0.500 0.500 0.500
0.500 0.000 0.214
0.000 0.500 0.786
0.000 0.000 0.500
0.500 0.000 0.868
0.000 0.500 0.132
0.500 0.500 0.000
0.000 0.000 0.000
0.500 0.000 0.641
0.000 0.500 0.359
```

Values from the calculation:
density of states at the Fermi level = 10.7 states/eV/f.u.
symmetry = P-4m2
total moment = 0.25 μB per cell
raw formation energy = -0.84 eV per atom

=====

The following is a GGA-PBE calculation of a geometry-optimized AlNi4Ge2 structure, from Alexandria via LeMat-Bulk.

Cell and atoms, written as POSCAR:
```
AlNi4Ge2
1.0
3.999 0.000 0.000
-1.999 5.793 0.000
0.000 0.000 7.888
Al Ni Ge
2 8 4
direct
0.678 0.357 0.750
0.322 0.643 0.250
0.723 0.446 0.094
0.723 0.446 0.406
0.277 0.554 0.906
0.277 0.554 0.594
0.065 0.129 0.750
0.935 0.871 0.250
0.500 0.000 0.000
0.500 0.000 0.500
0.108 0.215 0.426
0.892 0.785 0.926
0.108 0.215 0.074
0.892 0.785 0.574
```

Values from the calculation:
formation energy from the elements = -1.7 eV per formula unit
ΔE to the lowest computed polymorph = 53 meV/atom
density of states at the Fermi level = 4.4 states/eV/f.u.
symmetry = Cmcm
total moment = 0.00 μB per cell

=====

The following is a GGA-PBE calculation of a geometry-optimized Ac2Pa3Se8 structure, from Alexandria via LeMat-Bulk.

Cell and atoms, written as POSCAR:
```
Ac2Pa3Se8
1.0
5.022 0.000 0.000
0.000 8.724 -5.010
0.000 -0.705 8.874
Ac Pa Se
2 3 8
direct
0.500 0.265 0.529
0.500 0.735 0.471
0.500 0.000 0.000
0.000 0.262 0.000
0.000 0.738 0.000
0.000 0.616 0.231
0.000 0.384 0.769
0.000 0.111 0.222
0.000 0.889 0.778
0.500 0.646 0.769
0.500 0.123 0.769
0.500 0.877 0.231
0.500 0.354 0.231
```

Values from the calculation:
ΔE to the lowest computed polymorph = 0 meV/atom
density of states at the Fermi level = 10.3 states/eV/f.u.
symmetry = Cmmm
total moment = 3.56 μB per cell
raw formation energy = -1.57 eV per atom